Record 1
# CrI3, relaxed, DFT PBE-GGA
data_CrI3
_symmetry_space_group_name_H-M 'P 1'
_symmetry_Int_Tables_number 1
_symmetry_space_group_name_Hall 'P 1'
_cell_length_a 7.5629
_cell_length_b 7.5629
_cell_length_c 7.5629
_cell_angle_alpha 98.78
_cell_angle_beta 98.78
_cell_angle_gamma 134.01
loop_
_atom_site_label
_atom_site_fract_x
_atom_site_fract_y
_atom_site_fract_z
Cr1 0.0000 0.0000 0.0000
Cr2 0.7500 0.2500 0.5000
I1 0.2500 0.7500 0.5000
I2 0.3750 0.2373 0.3623
I3 0.5000 0.5000 0.0000
I4 0.7627 0.1250 0.1377
I5 0.8750 0.0127 0.6377
I6 0.9873 0.6250 0.8623
# ΔE_f (raw)	-0.05	eV/atom

---

Record 2
# ZrAg2Pb, relaxed, DFT PBE-GGA
data_ZrAg2Pb
_symmetry_space_group_name_H-M 'P 1'
_symmetry_Int_Tables_number 1
_symmetry_space_group_name_Hall 'P 1'
_cell_length_a 5.9743
_cell_length_b 5.9743
_cell_length_c 5.9743
_cell_angle_alpha 148.61
_cell_angle_beta 128.06
_cell_angle_gamma 61.96
loop_
_atom_site_label
_atom_site_fract_x
_atom_site_fract_y
_atom_site_fract_z
Zr1 0.0000 0.0000 0.0000
Ag1 0.2562 0.7562 0.5000
Ag2 0.4893 0.4893 0.0000
Pb1 0.7367 0.2367 0.5000
# formation energy	13.3	kJ per mole of atoms

---

Record 3
# YEr15Tm4, relaxed, DFT PBE-GGA
data_YEr15Tm4
_symmetry_space_group_name_H-M 'P 1'
_symmetry_Int_Tables_number 1
_symmetry_space_group_name_Hall 'P 1'
_cell_length_a 4.9562
_cell_length_b 4.9562
_cell_length_c 24.7889
_cell_angle_alpha 90.00
_cell_angle_beta 90.00
_cell_angle_gamma 90.00
loop_
_atom_site_label
_atom_site_fract_x
_atom_site_fract_y
_atom_site_fract_z
Y1 0.0000 0.0000 0.0000
Er1 0.0000 0.5000 0.1011
Er2 0.0000 0.5000 0.3005
Er3 0.0000 0.5000 0.5000
Er4 0.0000 0.5000 0.6995
Er5 0.0000 0.5000 0.8989
Er6 0.5000 0.0000 0.1011
Er7 0.5000 0.0000 0.3005
Er8 0.5000 0.0000 0.5000
Er9 0.5000 0.0000 0.6995
Er10 0.5000 0.0000 0.8989
Er11 0.5000 0.5000 0.0000
Er12 0.5000 0.5000 0.2009
Er13 0.5000 0.5000 0.4002
Er14 0.5000 0.5000 0.5998
Er15 0.5000 0.5000 0.7991
Tm1 0.0000 0.0000 0.2008
Tm2 0.0000 0.0000 0.4003
Tm3 0.0000 0.0000 0.5997
Tm4 0.0000 0.0000 0.7992
# formation energy	2.3	kJ per mole of atoms

---

Record 4
# ZrNbBr2F, relaxed, DFT PBE-GGA
data_ZrNbBr2F
_symmetry_space_group_name_H-M 'P 1'
_symmetry_Int_Tables_number 1
_symmetry_space_group_name_Hall 'P 1'
_cell_length_a 5.4580
_cell_length_b 5.4580
_cell_length_c 4.0853
_cell_angle_alpha 90.00
_cell_angle_beta 90.00
_cell_angle_gamma 90.00
loop_
_atom_site_label
_atom_site_fract_x
_atom_site_fract_y
_atom_site_fract_z
Zr1 0.0000 0.0000 0.0000
Nb1 0.5000 0.5000 0.5000
Br1 0.0000 0.5000 0.5000
Br2 0.5000 0.0000 0.5000
F1 0.5000 0.5000 0.0000
# ΔE_f (raw)	-0.25	eV/atom

---

Record 5
# UTiSb3, relaxed, DFT PBE-GGA
data_UTiSb3
_symmetry_space_group_name_H-M 'P 1'
_symmetry_Int_Tables_number 1
_symmetry_space_group_name_Hall 'P 1'
_cell_length_a 12.6759
_cell_length_b 6.3271
_cell_length_c 6.1495
_cell_angle_alpha 90.00
_cell_angle_beta 90.00
_cell_angle_gamma 90.00
loop_
_atom_site_label
_atom_site_fract_x
_atom_site_fract_y
_atom_site_fract_z
U1 0.1896 0.0018 0.2500
U2 0.1896 0.4982 0.7500
U3 0.8104 0.5018 0.2500
U4 0.8104 0.9982 0.7500
Ti1 0.3994 0.7500 0.0000
Ti2 0.3994 0.7500 0.5000
Ti3 0.6006 0.2500 0.0000
Ti4 0.6006 0.2500 0.5000
Sb1 0.0006 0.7500 0.0000
Sb2 0.0006 0.7500 0.5000
Sb3 0.2585 0.0002 0.7500
Sb4 0.2585 0.4998 0.2500
Sb5 0.4303 0.1096 0.2500
Sb6 0.4303 0.3904 0.7500
Sb7 0.5697 0.6096 0.2500
Sb8 0.5697 0.8904 0.7500
Sb9 0.7415 0.9998 0.2500
Sb10 0.7415 0.5002 0.7500
Sb11 0.9994 0.2500 0.0000
Sb12 0.9994 0.2500 0.5000
# ΔE_f (raw)	-0.35	eV/atom

---

Record 6
# PrNd2Y, relaxed, DFT PBE-GGA
data_PrNd2Y
_symmetry_space_group_name_H-M 'P 1'
_symmetry_Int_Tables_number 1
_symmetry_space_group_name_Hall 'P 1'
_cell_length_a 12.1284
_cell_length_b 12.1284
_cell_length_c 12.1284
_cell_angle_alpha 17.38
_cell_angle_beta 17.38
_cell_angle_gamma 17.38
loop_
_atom_site_label
_atom_site_fract_x
_atom_site_fract_y
_atom_site_fract_z
Pr1 0.0000 0.0000 0.0000
Nd1 0.2486 0.2486 0.2486
Nd2 0.7514 0.7514 0.7514
Y1 0.5000 0.5000 0.5000
# E above lowest polymorph	0.002	eV/atom
# formation energy	1.2	kJ per mole of atoms

---

Number 1: Fermi-level density of states 0.502 states/eV per atom, energy -3.617 eV per atom. Number 2: Fermi-level density of states 0.623 states/eV per atom, energy -4.352 eV per atom. Number 3: Fermi-level density of states 1.338 states/eV per atom, energy -4.615 eV per atom. Number 4: Fermi-level density of states 1.350 states/eV per atom, energy -5.016 eV per atom. Number 5: Fermi-level density of states 1.293 states/eV per atom, energy -6.663 eV per atom. Number 6: Fermi-level density of states 1.342 states/eV per atom, energy -5.182 eV per atom.